# 1
Material: NaBi2Pb
Method: DFT, PBE-GGA
State: optimized geometry

Computed properties:
SG   No. 160
Formation enthalpy at 0 K   -0.0451 eV per atom
Final energy   -3.242 eV per atom

POSCAR file:
```
NaBi2Pb
1.0
5.317 0.000 0.000
2.658 4.605 0.000
2.658 1.535 5.576
Bi Na Pb
2 1 1
direct
0.255 0.255 0.236
0.069 0.069 0.794
0.687 0.687 0.940
0.490 0.490 0.530
```

# 2
Material: TcSbAs2
Method: DFT, PBE-GGA
State: optimized geometry

Computed properties:
SG   No. 12
Final energy   -5.743 eV per atom
Uncorrected formation energy   79 kJ/mol of formula units

POSCAR file:
```
TcSbAs2
1.0
-0.901 -2.920 3.332
-0.928 -4.405 0.420
5.300 -2.011 0.978
Sb As Tc
1 2 1
direct
0.750 0.750 0.750
0.976 0.976 0.064
0.524 0.524 0.436
0.250 0.250 0.250
```

# 3
Material: LaTaTcBi2
Method: DFT, PBE-GGA
State: optimized geometry

Computed properties:
SG   No. 123
Formation enthalpy at 0 K   0.5275 eV per atom
Final energy   -6.454 eV per atom

POSCAR file:
```
LaTaTcBi2
1.0
5.421 0.000 0.000
0.000 4.818 0.000
0.000 0.000 5.421
Tc Bi Ta La
1 2 1 1
direct
0.000 0.000 0.000
0.500 0.000 0.000
0.000 0.000 0.500
0.000 0.500 0.000
0.500 0.500 0.500
```

# 4
Material: Pa3Fe2Ge7
Method: DFT, PBE-GGA
State: optimized geometry

Computed properties:
SG   No. 10
Formation enthalpy at 0 K   -0.4695 eV per atom
Final energy   -6.947 eV per atom

POSCAR file:
```
Pa3Fe2Ge7
1.0
4.158 0.000 0.000
0.000 4.190 0.037
0.000 -1.971 12.547
Fe Pa Ge
2 3 7
direct
0.500 0.605 0.260
0.500 0.395 0.740
0.000 0.800 0.635
0.500 0.500 0.000
0.000 0.200 0.365
0.000 0.000 0.000
0.500 0.273 0.558
0.000 0.603 0.176
0.000 0.397 0.824
0.500 0.925 0.825
0.500 0.727 0.442
0.500 0.075 0.175
```

# 5
Material: CuTcPt2
Method: DFT, PBE-GGA
State: optimized geometry

Computed properties:
SG   No. 160
Formation enthalpy at 0 K   -0.0393 eV per atom
Final energy   -6.675 eV per atom
E above lowest polymorph   149 meV/atom

POSCAR file:
```
CuTcPt2
1.0
9.059 -0.006 -0.003
8.643 2.712 -0.003
8.643 1.322 2.369
Cu Tc Pt
1 1 2
direct
0.751 0.751 0.751
0.498 0.498 0.498
0.247 0.247 0.247
0.004 0.004 0.004
```

# 6
Material: Sn2HgTe2
Method: DFT, PBE-GGA
State: optimized geometry

Computed properties:
SG   No. 139
Final energy   -2.925 eV per atom
E above lowest polymorph   158 meV/atom
Uncorrected formation energy   -3 kJ/mol of formula units

POSCAR file:
```
Sn2HgTe2
1.0
5.526 0.000 0.000
0.000 5.526 0.000
2.763 2.763 6.677
Hg Sn Te
1 2 2
direct
0.000 0.000 0.000
0.750 0.250 0.500
0.250 0.750 0.500
0.354 0.354 0.292
0.646 0.646 0.708
```

# 7
Material: Cs3Tl5Hg12
Method: DFT, PBE-GGA
State: optimized geometry

Computed properties:
SG   No. 230
Formation enthalpy at 0 K   -0.0067 eV per atom
Final energy   -0.907 eV per atom

POSCAR file:
```
Cs3Tl5Hg12
1.0
16.817 0.000 0.000
-5.606 15.855 0.000
-5.606 -7.927 13.731
Hg Tl Cs
48 20 12
direct
0.513 0.819 0.961
0.013 0.552 0.194
0.306 0.819 0.358
0.987 0.448 0.806
0.987 0.539 0.681
0.806 0.858 0.319
0.642 0.961 0.448
0.448 0.461 0.642
0.142 0.948 0.461
0.181 0.487 0.539
0.358 0.319 0.306
0.461 0.448 0.142
0.513 0.694 0.052
0.948 0.806 0.487
0.681 0.642 0.194
0.961 0.642 0.948
0.039 0.681 0.487
0.642 0.681 0.694
0.013 0.461 0.319
0.539 0.552 0.858
0.448 0.987 0.306
0.487 0.181 0.039
0.858 0.052 0.539
0.319 0.961 0.013
0.961 0.319 0.513
0.319 0.358 0.806
0.819 0.306 0.858
0.358 0.039 0.552
0.306 0.487 0.448
0.539 0.987 0.181
0.461 0.013 0.819
0.806 0.948 0.987
0.819 0.513 0.461
0.039 0.358 0.052
0.052 0.858 0.039
0.181 0.694 0.142
0.052 0.194 0.513
0.194 0.142 0.681
0.948 0.142 0.961
0.858 0.806 0.819
0.552 0.539 0.358
0.194 0.052 0.013
0.694 0.181 0.642
0.487 0.306 0.948
0.681 0.039 0.987
0.694 0.513 0.552
0.552 0.013 0.694
0.142 0.194 0.181
0.750 0.625 0.375
0.250 0.375 0.625
0.500 0.500 0.000
0.500 0.000 0.000
0.250 0.875 0.125
0.375 0.125 0.750
0.000 0.000 0.000
0.500 0.500 0.500
0.875 0.625 0.750
0.375 0.250 0.125
0.500 0.000 0.500
0.000 0.500 0.500
0.125 0.375 0.250
0.750 0.125 0.875
0.625 0.875 0.250
0.875 0.250 0.625
0.625 0.750 0.875
0.000 0.000 0.500
0.000 0.500 0.000
0.125 0.750 0.375
0.250 0.125 0.375
0.625 0.375 0.750
0.750 0.875 0.625
0.875 0.125 0.250
0.375 0.625 0.250
0.875 0.750 0.125
0.625 0.250 0.375
0.125 0.875 0.750
0.250 0.625 0.875
0.125 0.250 0.875
0.375 0.750 0.625
0.750 0.375 0.125
```

# 8
Material: Tb2ErTh
Method: DFT, PBE-GGA
State: optimized geometry

Computed properties:
SG   No. 166
Formation enthalpy at 0 K   0.0268 eV per atom
Final energy   -5.284 eV per atom
E above lowest polymorph   0 meV/atom

POSCAR file:
```
Tb2ErTh
1.0
-1.869 1.825 -2.426
-3.551 0.189 0.259
-0.829 10.215 5.706
Th Tb Er
1 2 1
direct
0.500 0.500 0.500
0.751 0.751 0.747
0.249 0.249 0.253
0.000 0.000 0.000
```

> Among the records above, which one has the lowest final energy?

Pa3Fe2Ge7